Compound: CaRe2Ir
Source: Alexandria
Functional: GGA-PBE
Structure: optimized geometry

Results
Formation enthalpy at 0 K   515 meV per atom
Magnetization   0.0 μB per formula unit
Polymorph energy (0 for the lowest one)   277 meV/atom

a = 2.8211 Å, b = 2.8211 Å, c = 29.1793 Å
α = 90.00°, β = 90.00°, γ = 120.00°
Space group R-3m (No. 166, hexagonal axes)
Inequivalent atoms, fractional coordinates:
Ca 0.0000 0.0000 0.0000 [3 per cell]
Re 0.0000 0.0000 0.2414 [6 per cell]
Ir 0.0000 0.0000 0.5000 [3 per cell]

=====

Compound: Dy2Mg2Pb3
Source: Alexandria
Functional: GGA-PBE
Structure: optimized geometry

Results
Formation enthalpy at 0 K   -194 meV per atom
Magnetization   0.0 μB per formula unit

a = 16.469 Å, b = 4.564 Å, c = 5.663 Å
α = 90.00°, β = 104.19°, γ = 90.00°
Space group C2/m (No. 12)
Inequivalent atoms, fractional coordinates:
Dy 0.134 0.000 0.080 [4 per cell]
Mg 0.101 0.500 0.559 [4 per cell]
Pb 0.000 0.500 0.000 [2 per cell]
Pb 0.227 0.000 0.672 [4 per cell]

=====

Compound: ZrSc2Al
Source: Alexandria
Functional: GGA-PBE
Structure: optimized geometry

Results
Formation enthalpy at 0 K   -189 meV per atom
Magnetization   0.0 μB per formula unit

a = 3.268 Å, b = 4.255 Å, c = 6.229 Å
α = 90.00°, β = 90.00°, γ = 90.00°
Space group Pmm2 (No. 25)
Inequivalent atoms, fractional coordinates:
Zr 0.000 0.000 0.000 [1 per cell]
Sc 0.000 0.000 0.488 [1 per cell]
Sc 0.500 0.500 0.754 [1 per cell]
Al 0.500 0.500 0.242 [1 per cell]